Entry w
## LuInBiTe3 (PBE)

Data for an optimized crystal structure of LuInBiTe3.

Output
magnetic moment	0.0	μB/f.u.
ρ	7.0	g/cm³

```
LuInBiTe3
1.0
9.529 -2.144 0.000
9.529 2.144 0.000
-2.671 0.000 10.305
Lu In Bi Te
2 2 2 6
Cartesian
3.102 0.000 0.851
13.285 0.000 9.455
0.941 0.000 6.077
15.447 0.000 4.228
7.038 0.000 7.984
9.349 0.000 2.321
0.000 0.000 0.000
4.146 0.000 7.323
6.073 0.000 1.298
8.194 0.000 5.153
10.315 0.000 9.007
12.242 0.000 2.982
```

Entry x
## LuInBiTe3 (PBE)

Data for an optimized crystal structure of LuInBiTe3.

Output
magnetic moment	0.0	μB/f.u.
ρ	7.4	g/cm³

```
LuInBiTe3
1.0
2.114 -7.502 0.000
2.114 7.502 0.000
0.000 0.000 12.431
Lu In Bi Te
2 2 2 6
Cartesian
0.000 0.000 0.000
0.000 0.000 6.215
2.114 2.832 9.323
2.114 -2.832 3.108
2.114 2.116 3.108
2.114 -2.116 9.323
2.114 7.013 3.108
2.114 2.134 0.030
2.114 2.134 6.186
2.114 -2.134 6.245
2.114 -2.134 12.401
2.114 -7.013 9.323
```

Most stable one: entry w, least stable one: entry x.

Entry w
## LiLaBiIr (PBE)

Data for an optimized crystal structure of LiLaBiIr.

Output
magnetic moment	0.0	μB/f.u.
ρ	10.7	g/cm³

```
LiLaBiIr
1.0
0.000 3.488 3.488
3.488 0.000 3.488
3.488 3.488 0.000
Li La Bi Ir
1 1 1 1
Cartesian
0.000 0.000 0.000
1.744 1.744 1.744
5.232 5.232 5.232
3.488 3.488 3.488
```

Entry x
## LiLaBiIr (PBE)

Data for an optimized crystal structure of LiLaBiIr.

Output
magnetic moment	0.0	μB/f.u.
ρ	10.5	g/cm³

```
LiLaBiIr
1.0
0.000 3.512 3.512
3.512 0.000 3.512
3.512 3.512 0.000
Li La Bi Ir
1 1 1 1
Cartesian
0.000 0.000 0.000
1.756 1.756 1.756
3.512 3.512 3.512
5.267 5.267 5.267
```

Entry y
## LiLaBiIr (PBE)

Data for an optimized crystal structure of LiLaBiIr.

Output
magnetic moment	0.0	μB/f.u.
ρ	9.8	g/cm³

```
LiLaBiIr
1.0
0.000 3.595 3.595
3.595 0.000 3.595
3.595 3.595 0.000
Li La Bi Ir
1 1 1 1
Cartesian
0.000 0.000 0.000
3.595 3.595 3.595
1.798 1.798 1.798
5.393 5.393 5.393
```

Most stable one: entry w, least stable one: entry y.